Record 1
RbCdN2: optimized geometry, PBE.

Values from the calculation:
formation energy without anion corrections = 1.4192 eV per atom
VASP energy = -3.21 eV per atom
density of states at the Fermi level = 0.179 states/eV/atom

a = 7.5319 Å, b = 7.5319 Å, c = 7.5319 Å
α = 28.89°, β = 28.89°, γ = 28.89°
With the nearest neighbours (Å) after each atom.
Fractional positions:
Cd (0.5000, 0.5000, 0.5000)  6 N 2.37
Rb (0.0000, 0.0000, 0.0000)  2 N 2.65
N (0.1224, 0.1224, 0.1224)  3 Cd 2.37, 1 Rb 2.65
N (0.8776, 0.8776, 0.8776)  3 Cd 2.37, 1 Rb 2.65

=====

Record 2
RbCdN2: optimized geometry, PBE.

Values from the calculation:
formation energy without anion corrections = -0.0235 eV per atom
VASP energy = -4.66 eV per atom
density of states at the Fermi level = 0.604 states/eV/atom

a = 8.4251 Å, b = 4.0070 Å, c = 11.2496 Å
α = 84.52°, β = 83.51°, γ = 35.82°
With the nearest neighbours (Å) after each atom.
Fractional positions:
N (0.7666, 0.9761, 0.9131)  1 N 1.15
N (0.2755, 0.1644, 0.0116)  1 N 1.15
Cd (0.0000, 0.5000, 0.5000)  2 Cd 2.84
Cd (0.5000, 0.0000, 0.5000)  2 Cd 2.84
Rb (0.7918, 0.2544, 0.1982)  4 N 2.90-3.21
Rb (0.2082, 0.7456, 0.8018)  4 N 2.90-3.21
N (0.2334, 0.0239, 0.0869)  1 N 1.15
N (0.7245, 0.8356, 0.9884)  1 N 1.15

=====

Record 3
Rb2CdN: optimized geometry, PBE.

Values from the calculation:
relative energy among the computed polymorphs = 0.4941 eV/atom
formation energy without anion corrections = 0.8331 eV per atom
VASP energy = -1.96 eV per atom
density of states at the Fermi level = 0.753 states/eV/atom

a = 5.6948 Å, b = 5.6948 Å, c = 5.6948 Å
α = 60.00°, β = 60.00°, γ = 60.00°
With the nearest neighbours (Å) after each atom.
Fractional positions:
Rb (0.7500, 0.7500, 0.7500)  4 N 3.49, 4 Cd 3.49
Cd (0.5000, 0.5000, 0.5000)  8 Rb 3.49
N (0.0000, 0.0000, 0.0000)  8 Rb 3.49
Rb (0.2500, 0.2500, 0.2500)  4 N 3.49, 4 Cd 3.49

=====

Record 4
RbCdN2: optimized geometry, PBE.

Values from the calculation:
formation energy without anion corrections = 1.2634 eV per atom
VASP energy = -3.37 eV per atom
density of states at the Fermi level = 0.457 states/eV/atom

a = 4.8462 Å, b = 4.8462 Å, c = 8.0265 Å
α = 72.43°, β = 72.43°, γ = 90.00°
With the nearest neighbours (Å) after each atom.
Fractional positions:
N (0.8750, 0.1257, 0.7500)  2 Cd 2.18, 2 N 2.42
Rb (0.2500, 0.7500, 0.5000)  8 N 3.26, 4 Cd 3.43
Cd (0.7500, 0.2500, 0.5000)  4 N 2.18
Rb (0.5000, 0.5000, 0.0000)  8 N 3.26, 4 Cd 3.43
N (0.8757, 0.1250, 0.2500)  2 Cd 2.18, 2 N 2.42
N (0.8743, 0.6250, 0.2500)  2 Cd 2.18, 2 N 2.42
N (0.3750, 0.1243, 0.7500)  2 Cd 2.18, 2 N 2.42
Cd (0.0000, 0.0000, 0.0000)  4 N 2.18

=====

Record 5
Rb2CdN: optimized geometry, PBE.

Values from the calculation:
relative energy among the computed polymorphs = 0.0000 eV/atom
formation energy without anion corrections = 0.3390 eV per atom
VASP energy = -2.45 eV per atom
density of states at the Fermi level = 0.361 states/eV/atom

a = 12.5562 Å, b = 12.5562 Å, c = 9.1253 Å
α = 46.53°, β = 46.53°, γ = 90.00°
With the nearest neighbours (Å) after each atom.
Fractional positions:
Cd (0.0000, 0.0000, 0.0000)  2 N 2.11
Rb (0.4085, 0.1250, 0.2500)  2 N 3.21, 2 Cd 3.54
Rb (0.8750, 0.6585, 0.7500)  2 N 3.21, 2 Cd 3.54
Rb (0.3415, 0.6250, 0.2500)  2 N 3.21, 2 Cd 3.54
N (0.5000, 0.5000, 0.0000)  2 Cd 2.11
N (0.2500, 0.7500, 0.5000)  2 Cd 2.11
Cd (0.7500, 0.2500, 0.5000)  2 N 2.11
Rb (0.3750, 0.5915, 0.7500)  2 N 3.21, 2 Cd 3.54

=====

Record 6
Rb2CdRhN: optimized geometry, PBE.

Values from the calculation:
formation energy without anion corrections = 0.0964 eV per atom
VASP energy = -3.61 eV per atom
density of states at the Fermi level = 0.383 states/eV/atom

a = 6.3446 Å, b = 6.3446 Å, c = 3.7437 Å
α = 90.00°, β = 90.00°, γ = 90.00°
With the nearest neighbours (Å) after each atom.
Fractional positions:
N (0.0000, 0.0000, 0.0000)  2 Rh 1.87
Rb (0.5000, 0.0000, 0.0000)  2 N 3.17
Cd (0.5000, 0.5000, 0.5000)  8 Rb 3.68, 2 Cd 3.74
Rb (0.0000, 0.5000, 0.0000)  2 N 3.17
Rh (0.0000, 0.0000, 0.5000)  2 N 1.87

=====

Record 7
RbCdSN2: optimized geometry, PBE.

Values from the calculation:
relative energy among the computed polymorphs = 0.9065 eV/atom
formation energy without anion corrections = 2.1025 eV per atom
VASP energy = -2.43 eV per atom
density of states at the Fermi level = 0.676 states/eV/atom

a = 5.1365 Å, b = 5.1365 Å, c = 6.4757 Å
α = 90.00°, β = 90.00°, γ = 90.00°
With the nearest neighbours (Å) after each atom.
Fractional positions:
N (0.5000, 0.0000, 0.0000)  2 Rb 2.57
S (0.0000, 0.0000, 0.5000)  2 Rb 3.24
Cd (0.5000, 0.5000, 0.5000)  4 S 3.63
Rb (0.0000, 0.0000, 0.0000)  4 N 2.57
N (0.0000, 0.5000, 0.0000)  2 Rb 2.57

=====

Record 8
RbCdSN2: optimized geometry, PBE.

Values from the calculation:
relative energy among the computed polymorphs = 0.0000 eV/atom
formation energy without anion corrections = 1.1960 eV per atom
VASP energy = -3.34 eV per atom
density of states at the Fermi level = 0.358 states/eV/atom

a = 4.7278 Å, b = 4.7278 Å, c = 5.2299 Å
α = 90.00°, β = 90.00°, γ = 90.00°
With the nearest neighbours (Å) after each atom.
Fractional positions:
N (0.0000, 0.5000, 0.0000)  2 Cd 2.36
Rb (0.5000, 0.5000, 0.5000)  4 S 3.34, 8 N 3.53
Cd (0.0000, 0.0000, 0.0000)  4 N 2.36, 2 S 2.61
N (0.5000, 0.0000, 0.0000)  2 Cd 2.36
S (0.0000, 0.0000, 0.5000)  2 Cd 2.61

=====

Record 9
RbCdSeN2: optimized geometry, PBE.

Values from the calculation:
relative energy among the computed polymorphs = 0.8112 eV/atom
formation energy without anion corrections = 1.9970 eV per atom
VASP energy = -2.41 eV per atom
density of states at the Fermi level = 0.727 states/eV/atom

a = 5.1126 Å, b = 5.1126 Å, c = 6.8193 Å
α = 90.00°, β = 90.00°, γ = 90.00°
With the nearest neighbours (Å) after each atom.
Fractional positions:
Rb (0.0000, 0.0000, 0.0000)  4 N 2.56
Se (0.0000, 0.0000, 0.5000)  2 Rb 3.41, 4 Cd 3.62
N (0.5000, 0.0000, 0.0000)  2 Rb 2.56
Cd (0.5000, 0.5000, 0.5000)  4 Se 3.62
N (0.0000, 0.5000, 0.0000)  2 Rb 2.56

=====

Record 10
RbCdSeN2: optimized geometry, PBE.

Values from the calculation:
relative energy among the computed polymorphs = 0.0000 eV/atom
formation energy without anion corrections = 1.1857 eV per atom
VASP energy = -3.22 eV per atom
density of states at the Fermi level = 0.322 states/eV/atom

a = 4.7797 Å, b = 4.7797 Å, c = 5.4784 Å
α = 90.00°, β = 90.00°, γ = 90.00°
With the nearest neighbours (Å) after each atom.
Fractional positions:
N (0.5000, 0.0000, 0.0000)  2 Cd 2.39
Rb (0.5000, 0.5000, 0.5000)  4 Se 3.38, 8 N 3.64
Se (0.0000, 0.0000, 0.5000)  2 Cd 2.74
Cd (0.0000, 0.0000, 0.0000)  4 N 2.39
N (0.0000, 0.5000, 0.0000)  2 Cd 2.39

=====

Record 11
RbCdTeN2: optimized geometry, PBE.

Values from the calculation:
relative energy among the computed polymorphs = 0.0000 eV/atom
formation energy without anion corrections = 1.2760 eV per atom
VASP energy = -3.06 eV per atom
density of states at the Fermi level = 0.296 states/eV/atom

a = 4.9082 Å, b = 4.9082 Å, c = 5.8203 Å
α = 90.00°, β = 90.00°, γ = 90.00°
With the nearest neighbours (Å) after each atom.
Fractional positions:
N (0.5000, 0.0000, 0.0000)  2 Cd 2.45
Cd (0.0000, 0.0000, 0.0000)  4 N 2.45
Rb (0.5000, 0.5000, 0.5000)  4 Te 3.47, 8 N 3.81
Te (0.0000, 0.0000, 0.5000)  2 Cd 2.91
N (0.0000, 0.5000, 0.0000)  2 Cd 2.45

=====

Record 12
RbCdTeN2: optimized geometry, PBE.

Values from the calculation:
relative energy among the computed polymorphs = 0.6486 eV/atom
formation energy without anion corrections = 1.9246 eV per atom
VASP energy = -2.41 eV per atom
density of states at the Fermi level = 0.790 states/eV/atom

a = 5.1251 Å, b = 5.1251 Å, c = 7.4565 Å
α = 90.00°, β = 90.00°, γ = 90.00°
With the nearest neighbours (Å) after each atom.
Fractional positions:
Te (0.0000, 0.0000, 0.5000)  4 Cd 3.62, 2 Rb 3.73
N (0.0000, 0.5000, 0.0000)  2 Rb 2.56
N (0.5000, 0.0000, 0.0000)  2 Rb 2.56
Rb (0.0000, 0.0000, 0.0000)  4 N 2.56
Cd (0.5000, 0.5000, 0.5000)  4 Te 3.62

=====

Question: Which value of formation energy without anion corrections does entry 5 give?
Answer: 0.3390 eV per atom